1.
Material: Na2PuSe3
Method: DFT, PBE
State: relaxed

extended XYZ file:
```
6
Lattice="4.271 0.000 0.000 0.000 5.780 0.000 0.000 -2.890 6.918" Properties=species:S:1:pos:R:3 pbc="T T T"
Na 2.136 0.000 4.850
Na 2.136 2.890 2.069
Pu 0.000 0.000 0.000
Se 2.136 2.890 5.052
Se 2.136 0.000 1.867
Se 0.000 2.890 0.000
```

Values from the calculation:
- DFT total energy (eV/atom) = -5.770
- formation energy (no corrections) (eV/atom) = -1.199
- theoretical density (g/cm³) = 5.1
- M_tot (μB per atom) = 0.67


2.
Material: Na3PuSe4
Method: DFT, PBE
State: relaxed

extended XYZ file:
```
8
Lattice="-3.598 1.881 1.045 -1.710 -5.641 4.266 3.697 4.900 3.908" Properties=species:S:1:pos:R:3 pbc="T T T"
Na 1.848 2.450 1.954
Na -0.806 0.570 4.609
Na -0.855 -2.821 2.133
Pu -1.799 0.941 0.523
Se 0.451 -0.168 1.857
Se -2.274 -2.293 4.707
Se 1.535 -0.573 6.317
Se 0.663 3.433 4.512
```

Values from the calculation:
- DFT total energy (eV/atom) = -5.119
- formation energy (no corrections) (eV/atom) = -1.090
- distance to the lowest polymorph of the same formula (eV per atom) = 0.019
- theoretical density (g/cm³) = 5.0
- M_tot (μB per atom) = 0.37


3.
Material: Na2Pu2Se5
Method: DFT, PBE
State: relaxed

extended XYZ file:
```
18
Lattice="-7.228 0.134 3.073 1.008 -7.269 2.688 2.234 6.351 4.976" Properties=species:S:1:pos:R:3 pbc="T T T"
Na 1.108 1.099 2.557
Na -2.002 -2.468 5.438
Na 2.134 -2.017 5.107
Na -1.984 1.685 5.299
Pu -3.946 -6.002 4.289
Pu -2.274 -1.133 1.472
Pu -0.509 -4.791 2.280
Pu -5.711 -2.344 3.481
Se 0.000 0.000 0.000
Se -3.110 -3.567 2.881
Se -4.840 -3.903 5.946
Se -0.009 -1.871 2.980
Se -1.017 -5.477 4.967
Se -3.832 -0.297 3.959
Se 0.854 3.120 4.791
Se -3.977 1.088 7.758
Se -2.969 4.694 5.771
Se -0.154 -0.487 6.778
```

Values from the calculation:
- DFT total energy (eV/atom) = -6.617
- formation energy (no corrections) (eV/atom) = -1.203
- theoretical density (g/cm³) = 6.8
- M_tot (μB per atom) = 0.89


4.
Material: Na2PuSiSe4
Method: DFT, PBE
State: relaxed

extended XYZ file:
```
16
Lattice="8.227 -0.012 -0.193 -0.018 8.227 -0.193 -4.172 -4.175 6.002" Properties=species:S:1:pos:R:3 pbc="T T T"
Na 4.114 -0.006 -0.097
Na 2.028 -2.093 2.904
Na -2.086 -2.087 3.001
Na 4.105 4.108 -0.193
Pu -0.009 4.114 -0.097
Pu 6.133 2.014 2.711
Si 2.019 2.020 2.808
Si 4.056 -4.187 5.809
Se -2.314 2.103 5.756
Se 3.970 0.146 2.860
Se 0.068 3.894 2.755
Se 6.352 1.938 -0.141
Se 2.172 2.063 5.524
Se 3.995 3.887 2.899
Se 0.042 0.154 2.716
Se 1.865 1.978 0.092
```

Values from the calculation:
- DFT total energy (eV/atom) = -5.454
- formation energy (no corrections) (eV/atom) = -0.913
- theoretical density (g/cm³) = 5.4
- M_tot (μB per atom) = 0.56


5.
Material: Na4SmPu3Se8
Method: DFT, PBE
State: relaxed

extended XYZ file:
```
16
Lattice="-4.381 -6.438 -3.258 7.250 -3.792 -2.255 -1.216 2.298 8.031" Properties=species:S:1:pos:R:3 pbc="T T T"
Na -2.190 -3.219 -1.629
Na -2.798 -2.070 2.387
Na 0.000 0.000 0.000
Na -0.608 1.149 4.015
Sm 3.625 -1.896 -1.128
Pu 1.435 -5.115 -2.756
Pu 0.827 -3.966 1.259
Pu 3.017 -0.747 2.888
Se 3.035 -2.087 5.479
Se 3.639 -3.229 1.487
Se 0.218 -1.505 2.682
Se 0.857 -5.287 3.860
Se 0.796 -2.646 -1.342
Se 1.435 -6.427 -0.164
Se -1.986 -4.704 1.031
Se -1.381 -5.846 -2.961
```

Values from the calculation:
- DFT total energy (eV/atom) = -6.531
- formation energy (no corrections) (eV/atom) = -1.476
- theoretical density (g/cm³) = 6.2
- M_tot (μB per atom) = 0.94


6.
Material: Na4Sm3PuSe8
Method: DFT, PBE
State: relaxed

extended XYZ file:
```
16
Lattice="-7.007 4.582 1.263 -1.997 -4.898 6.695 7.553 3.813 -0.314" Properties=species:S:1:pos:R:3 pbc="T T T"
Na -3.504 2.291 0.631
Na 0.273 4.198 0.474
Na 0.000 0.000 0.000
Na 3.776 1.907 -0.157
Sm -4.502 -0.158 3.979
Sm -0.725 1.749 3.822
Sm 2.778 -0.542 3.190
Pu -0.998 -2.449 3.348
Se 4.299 1.300 4.903
Se 0.512 -0.612 5.061
Se 1.536 1.815 1.938
Se 0.785 3.597 5.536
Se -2.236 -0.100 2.108
Se -2.987 1.683 5.706
Se -1.963 4.110 2.583
Se -5.749 2.198 2.741
```

Values from the calculation:
- DFT total energy (eV/atom) = -5.465
- formation energy (no corrections) (eV/atom) = -1.613
- theoretical density (g/cm³) = 5.4
- M_tot (μB per atom) = 0.31